{"formula": "BaNi2Se", "functional": "PBE-GGA", "state": "relaxed", "e_form_raw_mev_per_atom": -377, "space_group": "P2/m", "lattice": [[4.0358, 0.0000, 0.0000], [0.0000, 4.8170, -0.0213], [0.0000, 0.0342, 4.8394]], "species": ["Ba", "Ni", "Ni", "Se"], "frac_coords": [[0.5000, 0.7500, 0.7500], [0.0000, 0.2484, 0.9931], [0.0000, 0.2516, 0.5069], [0.5000, 0.2500, 0.2500]]}


{"formula": "CrSb2Os", "functional": "PBE-GGA", "state": "relaxed", "e_form_raw_mev_per_atom": 261, "space_group": "P4mm", "lattice": [[-2.3607, 1.5720, -1.0005], [-1.6976, -1.1485, 2.2010], [2.2691, 6.7696, 5.2826]], "species": ["Cr", "Os", "Sb", "Sb"], "frac_coords": [[0.0000, 0.0000, 0.5397], [0.5000, 0.5000, 0.7100], [0.0000, 0.0000, 0.9214], [0.5000, 0.5000, 0.3289]]}